Crystalline KVCd2Mo at its relaxed geometry. Source: the Alexandria database, functional GGA-PBE.

abc: 5.423 5.423 5.760
angles: 90.00 90.00 90.00
Space group P4/mmm (No. 123)
Symmetry-distinct sites (fractional):
K  0.000  0.000  0.000 x1
V  0.000  0.000  0.500 x1
Cd  0.000  0.500  0.500 x2
Mo  0.500  0.500  0.000 x1

## Properties
- E: -2.898 eV/atom
- E_form: 1.677 eV/atom